[1]
{
  "formula": "Na5SnHg",
  "functional": "PBE-GGA",
  "state": "optimized geometry",
  "n_ef_per_ev_cell": 6.31,
  "delta_e_f_ev_per_atom": -0.121,
  "lattice": [[4.1874, -4.2596, 0.0000], [4.1874, 4.2596, 0.0000], [-2.6518, 0.0000, 11.8231]],
  "species": ["Na", "Na", "Na", "Na", "Na", "Na", "Na", "Na", "Na", "Na", "Sn", "Sn", "Hg", "Hg"],
  "frac_coords": [[0.0367, 0.5340, 0.1392], [0.0711, 0.9289, 0.7500], [0.2254, 0.5017, 0.4584], [0.4660, 0.9633, 0.3608], [0.4983, 0.7746, 0.0416], [0.5017, 0.2254, 0.9584], [0.5340, 0.0367, 0.6392], [0.7746, 0.4983, 0.5416], [0.9289, 0.0711, 0.2500], [0.9633, 0.4660, 0.8608], [0.0000, 0.0000, 0.0000], [0.0000, 0.0000, 0.5000], [0.4461, 0.5539, 0.7500], [0.5539, 0.4461, 0.2500]]
}



[2]
{
  "formula": "NaSn3Hg",
  "functional": "PBE-GGA",
  "state": "optimized geometry",
  "n_ef_per_ev_cell": 4.49,
  "delta_e_f_ev_per_atom": 0.596,
  "lattice": [[5.4706, 0.0000, 0.0000], [0.0000, 5.4706, 0.0000], [0.0000, 0.0000, 5.4706]],
  "species": ["Na", "Sn", "Sn", "Sn", "Hg"],
  "frac_coords": [[0.0000, 0.0000, 0.0000], [0.0000, 0.0000, 0.5000], [0.0000, 0.5000, 0.0000], [0.5000, 0.0000, 0.0000], [0.5000, 0.5000, 0.5000]]
}



[3]
{
  "formula": "NaSn2Hg",
  "functional": "PBE-GGA",
  "state": "optimized geometry",
  "n_ef_per_ev_cell": 2.36,
  "delta_e_f_ev_per_atom": -0.085,
  "lattice": [[4.5974, 0.0000, 0.0000], [0.0000, 8.7245, 0.0000], [-2.2430, 0.0000, 5.5261]],
  "species": ["Na", "Na", "Sn", "Sn", "Sn", "Sn", "Hg", "Hg"],
  "frac_coords": [[0.0646, 0.2500, 0.1269], [0.9354, 0.7500, 0.8731], [0.3627, 0.0489, 0.7289], [0.3627, 0.4511, 0.7289], [0.6373, 0.5489, 0.2711], [0.6373, 0.9511, 0.2711], [0.2285, 0.7500, 0.4569], [0.7715, 0.2500, 0.5431]]
}



[4]
{
  "formula": "Na3Sn2Hg7",
  "functional": "PBE-GGA",
  "state": "optimized geometry",
  "n_ef_per_ev_cell": 3.92,
  "delta_e_f_ev_per_atom": -0.098,
  "lattice": [[5.2179, 0.0000, 0.0000], [0.0000, 4.9362, 0.0000], [-2.1579, 0.0000, 13.6339]],
  "species": ["Na", "Na", "Na", "Sn", "Sn", "Hg", "Hg", "Hg", "Hg", "Hg", "Hg", "Hg"],
  "frac_coords": [[0.0000, 0.0000, 0.0000], [0.3446, 0.5000, 0.6532], [0.6554, 0.5000, 0.3468], [0.0876, 0.0000, 0.2508], [0.9124, 0.0000, 0.7492], [0.0681, 0.5000, 0.1378], [0.2337, 0.0000, 0.4601], [0.4487, 0.0000, 0.8500], [0.5000, 0.5000, 0.0000], [0.5513, 0.0000, 0.1500], [0.7663, 0.0000, 0.5399], [0.9319, 0.5000, 0.8622]]
}



[5]
{
  "formula": "Na7Sn5Hg",
  "functional": "PBE-GGA",
  "state": "optimized geometry",
  "n_ef_per_ev_cell": 6.03,
  "delta_e_f_ev_per_atom": -0.119,
  "lattice": [[-3.3688, 5.2701, 5.5408], [3.3688, -5.2701, 5.5408], [3.3688, 5.2701, -5.5408]],
  "species": ["Na", "Na", "Na", "Na", "Na", "Na", "Na", "Sn", "Sn", "Sn", "Sn", "Sn", "Hg"],
  "frac_coords": [[0.0000, 0.0000, 0.0000], [0.0786, 0.8050, 0.2736], [0.0929, 0.5929, 0.5000], [0.3806, 0.3806, 0.0000], [0.5314, 0.8050, 0.7264], [0.6129, 0.2812, 0.3317], [0.9495, 0.2812, 0.6683], [0.3112, 0.3217, 0.5483], [0.3112, 0.7629, 0.9895], [0.5047, 0.0047, 0.5000], [0.7734, 0.3217, 0.0105], [0.7734, 0.7629, 0.4517], [0.7121, 0.7121, 0.0000]]
}



[6]
{
  "formula": "Na14SnHg",
  "functional": "PBE-GGA",
  "state": "optimized geometry",
  "n_ef_per_ev_cell": 7.85,
  "delta_e_f_ev_per_atom": -0.059,
  "lattice": [[7.1010, 0.0000, 0.0000], [0.0000, 7.1010, 0.0000], [0.0000, 0.0000, 10.4215]],
  "species": ["Na", "Na", "Na", "Na", "Na", "Na", "Na", "Na", "Na", "Na", "Na", "Na", "Na", "Na", "Sn", "Hg"],
  "frac_coords": [[0.0000, 0.0000, 0.0000], [0.0000, 0.5000, 0.0000], [0.0000, 0.5000, 0.5000], [0.2489, 0.2489, 0.2747], [0.2489, 0.2489, 0.7253], [0.2489, 0.7511, 0.2747], [0.2489, 0.7511, 0.7253], [0.5000, 0.0000, 0.0000], [0.5000, 0.0000, 0.5000], [0.5000, 0.5000, 0.0000], [0.7511, 0.2489, 0.2747], [0.7511, 0.2489, 0.7253], [0.7511, 0.7511, 0.2747], [0.7511, 0.7511, 0.7253], [0.0000, 0.0000, 0.5000], [0.5000, 0.5000, 0.5000]]
}



[7]
{
  "formula": "Na5Sn2Hg2",
  "functional": "PBE-GGA",
  "state": "optimized geometry",
  "n_ef_per_ev_cell": 3.31,
  "delta_e_f_ev_per_atom": -0.173,
  "lattice": [[5.7411, -2.5804, 0.0000], [5.7411, 2.5804, 0.0000], [-2.3166, 0.0000, 8.4032]],
  "species": ["Na", "Na", "Na", "Na", "Na", "Sn", "Sn", "Hg", "Hg"],
  "frac_coords": [[0.0000, 0.0000, 0.0000], [0.1096, 0.1096, 0.6859], [0.4263, 0.4263, 0.7407], [0.5737, 0.5737, 0.2593], [0.8904, 0.8904, 0.3141], [0.2252, 0.2252, 0.3874], [0.7748, 0.7748, 0.6126], [0.3096, 0.3096, 0.0640], [0.6904, 0.6904, 0.9360]]
}



[8]
{
  "formula": "Na2SnHg5",
  "functional": "PBE-GGA",
  "state": "optimized geometry",
  "n_ef_per_ev_cell": 2.65,
  "delta_e_f_ev_per_atom": -0.152,
  "lattice": [[5.5331, -3.3904, 0.0000], [5.5331, 3.3904, 0.0000], [-4.1019, 0.0000, 5.3994]],
  "species": ["Na", "Na", "Sn", "Hg", "Hg", "Hg", "Hg", "Hg"],
  "frac_coords": [[0.0000, 0.0000, 0.0000], [0.5000, 0.5000, 0.5002], [0.4991, 0.4991, 0.9995], [0.9996, 0.5007, 0.0008], [0.9995, 0.5005, 0.4996], [0.0010, 0.0010, 0.5011], [0.5007, 0.9996, 0.0008], [0.5005, 0.9995, 0.4996]]
}



[9]
{
  "formula": "Na8SnHg6",
  "functional": "PBE-GGA",
  "state": "optimized geometry",
  "n_ef_per_ev_cell": 5.80,
  "delta_e_f_ev_per_atom": -0.172,
  "lattice": [[4.4162, 2.5497, 6.5208], [-4.4162, 2.5497, 6.5208], [0.0000, -5.0993, 6.5208]],
  "species": ["Na", "Na", "Na", "Na", "Na", "Na", "Na", "Na", "Sn", "Hg", "Hg", "Hg", "Hg", "Hg", "Hg"],
  "frac_coords": [[0.0613, 0.7134, 0.3813], [0.1670, 0.1670, 0.1670], [0.2866, 0.6187, 0.9387], [0.3813, 0.0613, 0.7134], [0.6187, 0.9387, 0.2866], [0.7134, 0.3813, 0.0613], [0.8330, 0.8330, 0.8330], [0.9387, 0.2866, 0.6187], [0.5000, 0.5000, 0.5000], [0.1083, 0.4475, 0.7799], [0.2201, 0.8917, 0.5525], [0.4475, 0.7799, 0.1083], [0.5525, 0.2201, 0.8917], [0.7799, 0.1083, 0.4475], [0.8917, 0.5525, 0.2201]]
}



[10]
{
  "formula": "Na2Sn2Hg5",
  "functional": "PBE-GGA",
  "state": "optimized geometry",
  "n_ef_per_ev_cell": 5.73,
  "delta_e_f_ev_per_atom": -0.058,
  "lattice": [[-8.6370, 3.6854, 4.0677], [8.6370, -3.6854, 4.0677], [8.6370, 3.6854, -4.0677]],
  "species": ["Na", "Na", "Na", "Na", "Sn", "Sn", "Sn", "Sn", "Hg", "Hg", "Hg", "Hg", "Hg", "Hg", "Hg", "Hg", "Hg", "Hg"],
  "frac_coords": [[0.0065, 0.1307, 0.1372], [0.0065, 0.3693, 0.3758], [0.9935, 0.6307, 0.6242], [0.9935, 0.8693, 0.8628], [0.2929, 0.2929, 0.0000], [0.2929, 0.7929, 0.5000], [0.5656, 0.4539, 0.6117], [0.8423, 0.9539, 0.3883], [0.0224, 0.5104, 0.0120], [0.3196, 0.0588, 0.5690], [0.3196, 0.2506, 0.7608], [0.4898, 0.5588, 0.2392], [0.4898, 0.7506, 0.4310], [0.4984, 0.0104, 0.9880], [0.5127, 0.1035, 0.2928], [0.5127, 0.7200, 0.9092], [0.8108, 0.2200, 0.7072], [0.8108, 0.6035, 0.0908]]
}



[11]
{
  "formula": "Na6SnHg",
  "functional": "PBE-GGA",
  "state": "optimized geometry",
  "n_ef_per_ev_cell": 3.67,
  "delta_e_f_ev_per_atom": -0.131,
  "lattice": [[6.1304, 0.0000, 0.0000], [-0.0386, 6.1361, 0.0000], [-0.0857, -0.0908, 6.1769]],
  "species": ["Na", "Na", "Na", "Na", "Na", "Na", "Sn", "Hg"],
  "frac_coords": [[0.0010, 0.2544, 0.4977], [0.2452, 0.0003, 0.0012], [0.4980, 0.4993, 0.7544], [0.5020, 0.5007, 0.2456], [0.7548, 0.9997, 0.9988], [0.9990, 0.7456, 0.5023], [0.0000, 0.5000, 0.0000], [0.5000, 0.0000, 0.5000]]
}



[12]
{
  "formula": "Na2SnHg8",
  "functional": "PBE-GGA",
  "state": "optimized geometry",
  "n_ef_per_ev_cell": 4.39,
  "delta_e_f_ev_per_atom": -0.116,
  "lattice": [[4.9739, 0.0000, 0.0000], [0.0000, 4.9739, 0.0000], [0.0000, 0.0000, 12.0455]],
  "species": ["Na", "Na", "Sn", "Hg", "Hg", "Hg", "Hg", "Hg", "Hg", "Hg", "Hg"],
  "frac_coords": [[0.0000, 0.0000, 0.1759], [0.0000, 0.0000, 0.8241], [0.0000, 0.0000, 0.5000], [0.0000, 0.5000, 0.0000], [0.0000, 0.5000, 0.3527], [0.0000, 0.5000, 0.6473], [0.5000, 0.0000, 0.0000], [0.5000, 0.0000, 0.3527], [0.5000, 0.0000, 0.6473], [0.5000, 0.5000, 0.1874], [0.5000, 0.5000, 0.8126]]
}